Model a:
# NaAcTl4

NaAcTl4 after structural relaxation (GGA-PBE, the Alexandria database).

Computed properties:
**Space-group type**: F-43m
**Density**: 9.30 g cm⁻³
**D(E_F)**: 3.49 states/eV per cell

Unit cell a=6.460 b=6.460 c=6.460 alpha=60.00 beta=60.00 gamma=60.00
Atoms (fractional coordinates):
1 Na 0.000 0.000 0.000
2 Ac 0.250 0.250 0.250
3 Tl 0.125 0.625 0.625
4 Tl 0.625 0.125 0.625
5 Tl 0.625 0.625 0.125
6 Tl 0.625 0.625 0.625

Model b:
# NaAcTl4

NaAcTl4 after structural relaxation (GGA-PBE, the Alexandria database).

Computed properties:
**Space-group type**: C2/m
**Density**: 9.42 g cm⁻³
**D(E_F)**: 3.74 states/eV per cell

Unit cell a=6.541 b=6.541 c=8.085 alpha=108.98 beta=108.98 gamma=35.38
Atoms (fractional coordinates):
1 Na 0.000 0.000 0.000
2 Ac 0.000 0.000 0.500
3 Tl 0.323 0.323 0.153
4 Tl 0.327 0.327 0.672
5 Tl 0.673 0.673 0.328
6 Tl 0.677 0.677 0.847

Model c:
# NaAcTl4

NaAcTl4 after structural relaxation (GGA-PBE, the Alexandria database).

Computed properties:
**Space-group type**: Pm
**Density**: 9.39 g cm⁻³
**D(E_F)**: 3.00 states/eV per cell

Unit cell a=3.821 b=5.246 c=9.423 alpha=90.00 beta=91.71 gamma=90.00
Atoms (fractional coordinates):
1 Na 0.000 0.000 0.000
2 Ac 0.000 0.500 0.502
3 Tl 0.381 0.500 0.845
4 Tl 0.410 0.000 0.327
5 Tl 0.586 0.000 0.674
6 Tl 0.625 0.500 0.158

Q: Which of them is the most stable? A: model c.

Model a:
# NaAcTl3

NaAcTl3 after structural relaxation (GGA-PBE, the Alexandria database).

Computed properties:
**Space-group type**: Pmma
**Density**: 8.31 g cm⁻³
**D(E_F)**: 6.32 states/eV per cell

Unit cell a=8.376 b=4.042 c=10.189 alpha=90.00 beta=90.00 gamma=90.00
Atoms (fractional coordinates):
1 Na 0.250 0.000 0.118
2 Na 0.750 0.000 0.882
3 Ac 0.250 0.000 0.569
4 Ac 0.750 0.000 0.431
5 Tl 0.061 0.500 0.325
6 Tl 0.250 0.500 0.870
7 Tl 0.439 0.500 0.325
8 Tl 0.561 0.500 0.675
9 Tl 0.750 0.500 0.130
10 Tl 0.939 0.500 0.675

Model b:
# NaAcTl3

NaAcTl3 after structural relaxation (GGA-PBE, the Alexandria database).

Computed properties:
**Space-group type**: P2_1/m
**Density**: 8.86 g cm⁻³
**D(E_F)**: 5.59 states/eV per cell

Unit cell a=5.653 b=6.724 c=8.960 alpha=90.00 beta=108.17 gamma=90.00
Atoms (fractional coordinates):
1 Na 0.089 0.250 0.171
2 Na 0.911 0.750 0.829
3 Ac 0.302 0.250 0.601
4 Ac 0.698 0.750 0.399
5 Tl 0.095 0.750 0.192
6 Tl 0.319 0.750 0.645
7 Tl 0.500 0.000 0.000
8 Tl 0.500 0.500 0.000
9 Tl 0.681 0.250 0.355
10 Tl 0.905 0.250 0.808

Q: Which of them is the most stable? A: model a.

Model a:
# NaAc2Tm

NaAc2Tm after structural relaxation (GGA-PBE, the Alexandria database).

Computed properties:
**Space-group type**: P4/mmm
**Density**: 6.97 g cm⁻³
**D(E_F)**: 4.95 states/eV per cell

Unit cell a=6.196 b=6.196 c=4.011 alpha=90.00 beta=90.00 gamma=90.00
Atoms (fractional coordinates):
1 Na 0.000 0.000 0.000
2 Ac 0.000 0.500 0.500
3 Ac 0.500 0.000 0.500
4 Tm 0.500 0.500 0.000

Model b:
# NaAc2Tm

NaAc2Tm after structural relaxation (GGA-PBE, the Alexandria database).

Computed properties:
**Space-group type**: P4/mmm
**Density**: 6.67 g cm⁻³
**D(E_F)**: 4.31 states/eV per cell

Unit cell a=4.175 b=4.175 c=9.232 alpha=90.00 beta=90.00 gamma=90.00
Atoms (fractional coordinates):
1 Na 0.000 0.000 0.000
2 Ac 0.500 0.500 0.269
3 Ac 0.500 0.500 0.731
4 Tm 0.000 0.000 0.500

Model c:
# NaAc2Tm

NaAc2Tm after structural relaxation (GGA-PBE, the Alexandria database).

Computed properties:
**Space-group type**: Fm-3m
**Density**: 6.96 g cm⁻³
**D(E_F)**: 4.93 states/eV per cell

Unit cell a=6.017 b=6.017 c=6.017 alpha=60.00 beta=60.00 gamma=60.00
Atoms (fractional coordinates):
1 Na 0.000 0.000 0.000
2 Ac 0.250 0.250 0.250
3 Ac 0.750 0.750 0.750
4 Tm 0.500 0.500 0.500

Q: Which of them is the most stable? A: model b.

Model a:
# NaAcY

NaAcY after structural relaxation (GGA-PBE, the Alexandria database).

Computed properties:
**Space-group type**: P-1
**Density**: 4.15 g cm⁻³
**D(E_F)**: 12.41 states/eV per cell

Unit cell a=5.738 b=5.741 c=10.033 alpha=106.27 beta=90.23 gamma=119.92
Atoms (fractional coordinates):
1 Na 0.204 0.412 0.114
2 Na 0.796 0.588 0.886
3 Ac 0.064 0.125 0.691
4 Ac 0.936 0.875 0.309
5 Y 0.338 0.676 0.513
6 Y 0.662 0.324 0.487

Model b:
# NaAcY

NaAcY after structural relaxation (GGA-PBE, the Alexandria database).

Computed properties:
**Space-group type**: P3m1
**Density**: 4.86 g cm⁻³
**D(E_F)**: 4.77 states/eV per cell

Unit cell a=3.771 b=3.771 c=9.406 alpha=90.00 beta=90.00 gamma=120.00
Atoms (fractional coordinates):
1 Na 0.000 0.000 0.000
2 Ac 0.667 0.333 0.357
3 Y 0.333 0.667 0.670

Q: Which of them is the most stable? A: model b.

Model a:
# NaAcY

NaAcY after structural relaxation (GGA-PBE, the Alexandria database).

Computed properties:
**Space-group type**: R-3m
**Density**: 4.84 g cm⁻³
**D(E_F)**: 7.50 states/eV per cell

Unit cell a=18.642 b=18.642 c=18.642 alpha=11.73 beta=11.73 gamma=11.73
Atoms (fractional coordinates):
1 Na 0.195 0.195 0.195
2 Na 0.805 0.805 0.805
3 Ac 0.413 0.413 0.413
4 Ac 0.587 0.587 0.587
5 Y 0.308 0.308 0.308
6 Y 0.692 0.692 0.692

Model b:
# NaAcY

NaAcY after structural relaxation (GGA-PBE, the Alexandria database).

Computed properties:
**Space-group type**: I4mm
**Density**: 4.87 g cm⁻³
**D(E_F)**: 4.22 states/eV per cell

Unit cell a=8.657 b=8.657 c=8.657 alpha=155.03 beta=155.03 gamma=35.60
Atoms (fractional coordinates):
1 Na 0.000 0.000 0.000
2 Ac 0.681 0.681 0.000
3 Y 0.338 0.338 0.000

Q: Which of them is the most stable? A: model a.

Model a:
# AcNb2O6

AcNb2O6 after structural relaxation (GGA-PBE, the Alexandria database).

Computed properties:
**Space-group type**: C2/m
**Density**: 6.16 g cm⁻³
**D(E_F)**: 0.54 states/eV per cell

Unit cell a=5.317 b=5.317 c=7.469 alpha=113.00 beta=113.00 gamma=45.84
Atoms (fractional coordinates):
1 Ac 0.000 0.000 0.000
2 Nb 0.183 0.183 0.593
3 Nb 0.817 0.817 0.407
4 O 0.012 0.012 0.676
5 O 0.305 0.305 0.407
6 O 0.340 0.340 0.857
7 O 0.660 0.660 0.143
8 O 0.695 0.695 0.593
9 O 0.988 0.988 0.324

Model b:
# AcNb2O6

AcNb2O6 after structural relaxation (GGA-PBE, the Alexandria database).

Computed properties:
**Space-group type**: P4/mmm
**Density**: 6.36 g cm⁻³
**D(E_F)**: 3.02 states/eV per cell

Unit cell a=4.041 b=4.041 c=8.138 alpha=90.00 beta=90.00 gamma=90.00
Atoms (fractional coordinates):
1 Ac 0.000 0.000 0.000
2 Nb 0.500 0.500 0.263
3 Nb 0.500 0.500 0.737
4 O 0.000 0.500 0.226
5 O 0.000 0.500 0.774
6 O 0.500 0.000 0.226
7 O 0.500 0.000 0.774
8 O 0.500 0.500 0.000
9 O 0.500 0.500 0.500

Q: Which of them is the most stable? A: model b.

Model a:
# AcNbP2

AcNbP2 after structural relaxation (GGA-PBE, the Alexandria database).

Computed properties:
**Space-group type**: P4/mmm
**Density**: 7.97 g cm⁻³
**D(E_F)**: 2.21 states/eV per cell

Unit cell a=3.364 b=3.364 c=7.029 alpha=90.00 beta=90.00 gamma=90.00
Atoms (fractional coordinates):
1 Ac 0.000 0.000 0.000
2 Nb 0.000 0.000 0.500
3 P 0.500 0.500 0.306
4 P 0.500 0.500 0.694

Model b:
# AcNbP2

AcNbP2 after structural relaxation (GGA-PBE, the Alexandria database).

Computed properties:
**Space-group type**: R-3m
**Density**: 7.21 g cm⁻³
**D(E_F)**: 1.94 states/eV per cell

Unit cell a=7.020 b=7.020 c=7.020 alpha=32.33 beta=32.33 gamma=32.33
Atoms (fractional coordinates):
1 Ac 0.000 0.000 0.000
2 Nb 0.500 0.500 0.500
3 P 0.233 0.233 0.233
4 P 0.767 0.767 0.767

Q: Which of them is the most stable? A: model b.

Model a:
# AcNbP

AcNbP after structural relaxation (GGA-PBE, the Alexandria database).

Computed properties:
**Space-group type**: P-6m2
**Density**: 7.77 g cm⁻³
**D(E_F)**: 2.96 states/eV per cell

Unit cell a=4.332 b=4.332 c=4.618 alpha=90.00 beta=90.00 gamma=120.00
Atoms (fractional coordinates):
1 Ac 0.000 0.000 0.000
2 Nb 0.667 0.333 0.500
3 P 0.333 0.667 0.500

Model b:
# AcNbP

AcNbP after structural relaxation (GGA-PBE, the Alexandria database).

Computed properties:
**Space-group type**: P2_1/c
**Density**: 7.43 g cm⁻³
**D(E_F)**: 10.34 states/eV per cell

Unit cell a=6.153 b=7.917 c=6.749 alpha=90.00 beta=107.34 gamma=90.00
Atoms (fractional coordinates):
1 Ac 0.152 0.006 0.296
2 Ac 0.152 0.494 0.796
3 Ac 0.848 0.506 0.204
4 Ac 0.848 0.994 0.704
5 Nb 0.428 0.662 0.401
6 Nb 0.428 0.838 0.901
7 Nb 0.572 0.162 0.099
8 Nb 0.572 0.338 0.599
9 P 0.359 0.121 0.729
10 P 0.359 0.379 0.229
11 P 0.641 0.621 0.771
12 P 0.641 0.879 0.271

Q: Which of them is the most stable? A: model b.